Density functional theory data (PBE+U) for In2NiGeF after structural relaxation.

Structure (extended XYZ):
```
5
Lattice="5.355 0.000 0.000 0.000 3.953 0.000 0.000 0.000 5.355" Properties=species:S:1:pos:R:3 pbc="T T T"
In 0.000 0.000 2.677
In 2.677 0.000 0.000
F 0.000 1.977 0.000
Ni 2.677 1.977 2.677
Ge 0.000 0.000 0.000
```

SG: P4/mmm, No. 123
Final energy: -2.6191 eV/atom
M_tot: 0.0 μB/f.u.